Entry 1:
! PBE BeZn, optimized geometry; values from VASP
&SYSTEM
  ibrav = 0, nat = 4, ntyp = 2
/
ATOMIC_SPECIES
Zn 65.41 Zn.upf
Be 9.01 Be.upf
CELL_PARAMETERS angstrom
2.600 0.000 0.000
-1.300 2.252 0.000
0.000 0.000 7.835
ATOMIC_POSITIONS crystal
Zn 0.000 0.000 0.477
Be 0.000 0.000 0.021
Be 0.667 0.333 0.229
Zn 0.667 0.333 0.773
! Energy of formation (eV/atom): 0.17
! DFT total energy (eV per atom): -2.331
! Calculated volume (Å³/cell): 45.9

=====

Entry 2:
! PBE Ba2GdS, optimized geometry; values from VASP
&SYSTEM
  ibrav = 0, nat = 4, ntyp = 3
/
ATOMIC_SPECIES
Ba 137.33 Ba.upf
S 32.06 S.upf
Gd 157.25 Gd.upf
CELL_PARAMETERS angstrom
-2.699 -1.205 -2.929
-1.521 -3.873 0.039
-10.132 1.800 5.638
ATOMIC_POSITIONS crystal
Ba 0.889 0.889 0.332
S 0.500 0.500 0.500
Ba 0.111 0.111 0.668
Gd 0.000 0.000 0.000
! Uncorrected formation energy (meV/atom): -631
! DFT total energy (eV per atom): -6.144
! Calculated volume (Å³/cell): 172.2

=====

Entry 3:
! PBE Pr2UTe2N2, optimized geometry; values from VASP
&SYSTEM
  ibrav = 0, nat = 7, ntyp = 4
/
ATOMIC_SPECIES
Pr 140.91 Pr.upf
N 14.01 N.upf
U 238.03 U.upf
Te 127.60 Te.upf
CELL_PARAMETERS angstrom
-4.203 0.486 1.284
0.943 -1.983 3.838
3.527 8.204 0.824
ATOMIC_POSITIONS crystal
Pr 0.393 0.393 0.786
N 0.000 0.500 0.000
U 0.000 0.000 0.000
N 0.500 0.000 0.000
Te 0.816 0.816 0.633
Te 0.184 0.184 0.367
Pr 0.607 0.607 0.214
! Uncorrected formation energy (meV/atom): -1316
! DFT total energy (eV per atom): -7.570
! Calculated volume (Å³/cell): 164.4

=====

Entry 4:
! PBE SmGdDyHo, optimized geometry; values from VASP
&SYSTEM
  ibrav = 0, nat = 4, ntyp = 4
/
ATOMIC_SPECIES
Ho 164.93 Ho.upf
Gd 157.25 Gd.upf
Dy 162.50 Dy.upf
Sm 150.36 Sm.upf
CELL_PARAMETERS angstrom
-3.063 1.751 -4.460
-3.622 -3.572 -2.540
-5.607 0.781 0.532
ATOMIC_POSITIONS crystal
Ho 0.000 0.000 0.000
Gd 0.750 0.750 0.750
Dy 0.500 0.500 0.500
Sm 0.250 0.250 0.250
! Energy of formation (eV/atom): 0.12
! DFT total energy (eV per atom): -6.876
! Calculated volume (Å³/cell): 130.0

=====

Entry 5:
! PBE Ti4GaMo2, optimized geometry; values from VASP
&SYSTEM
  ibrav = 0, nat = 7, ntyp = 3
/
ATOMIC_SPECIES
Ti 47.87 Ti.upf
Mo 95.94 Mo.upf
Ga 69.72 Ga.upf
CELL_PARAMETERS angstrom
-2.141 -2.379 3.414
4.059 -0.351 2.301
-0.254 3.964 5.810
ATOMIC_POSITIONS crystal
Ti 0.800 0.800 0.401
Ti 0.000 0.500 0.000
Mo 0.387 0.387 0.225
Ti 0.200 0.200 0.599
Mo 0.613 0.613 0.775
Ga 0.000 0.000 0.000
Ti 0.500 0.000 0.000
! Energy of formation (eV/atom): 0.77
! DFT total energy (eV per atom): -7.267
! Calculated volume (Å³/cell): 136.0

=====

Entry 6:
! PBE Ti3IrRu2, optimized geometry; values from VASP
&SYSTEM
  ibrav = 0, nat = 6, ntyp = 3
/
ATOMIC_SPECIES
Ti 47.87 Ti.upf
Ru 101.07 Ru.upf
Ir 192.22 Ir.upf
CELL_PARAMETERS angstrom
-0.552 3.025 0.423
-1.272 -0.619 2.762
8.237 0.943 4.006
ATOMIC_POSITIONS crystal
Ti 0.000 0.000 0.331
Ru 0.500 0.500 0.167
Ti 0.000 0.000 0.669
Ti 0.000 0.000 0.000
Ru 0.500 0.500 0.833
Ir 0.500 0.500 0.500
! Energy of formation (eV/atom): -0.78
! DFT total energy (eV per atom): -9.296
! Calculated volume (Å³/cell): 88.7

=====

> What is the DFT total energy in the fifth record?

-7.267 eV per atom

=====

> Which value of calculated volume does entry 1 give?

45.9 Å³/cell

=====

> Which value of calculated volume does entry 2 give?

172.2 Å³/cell